Material: GdScGe
Method: DFT, GGA-PBE
State: optimized geometry

The structure belongs to space group F-43m (No. 216); the cell edges are 6.737, 6.737 and 6.737 Å and the angles 90.00°, 90.00° and 90.00°. The asymmetric unit holds Gd at (0.000, 0.000, 0.000), Sc at (0.000, 0.000, 0.500) and Ge at (0.250, 0.250, 0.250).

As for the crystal system: cubic. For the total DFT energy (no corrections), the calculation gives -0.327 hartree per atom. Its magnetization is 7.89 μB/f.u. The value obtained for the calculated volume is 306 Å³/cell. The value obtained for the theoretical density is 6.0 g cm⁻³. For the formation energy, the calculation gives -542.1 meV per atom.